No. 1
This record from Alexandria via LeMat-Bulk describes PrMnCoSi2 after structural relaxation. The functional is PBE-GGA.

Unit cell a=5.761 b=5.761 c=5.761 alpha=139.05 beta=139.05 gamma=59.30
Element x y z (fractional)
Pr 0.000 0.000 0.000
Mn 0.250 0.750 0.500
Co 0.750 0.250 0.500
Si 0.367 0.367 0.000
Si 0.633 0.633 0.000

The formation energy (no corrections) is -618 meV/atom. As for the symmetry: I-4m2, No. 119.



No. 2
This record from Alexandria via LeMat-Bulk describes MgAg2W after structural relaxation. The functional is PBE-GGA.

Unit cell a=9.842 b=9.842 c=9.842 alpha=16.78 beta=16.78 gamma=16.78
Element x y z (fractional)
Mg 0.000 0.000 0.000
Ag 0.251 0.251 0.251
Ag 0.749 0.749 0.749
W 0.500 0.500 0.500

The calculated formation energy is 0.326 eV/atom. As for the symmetry: R-3m, No. 166.



No. 3
This record from Alexandria via LeMat-Bulk describes LiHoCd after structural relaxation. The functional is PBE-GGA.

Unit cell a=4.974 b=4.974 c=3.232 alpha=90.00 beta=90.00 gamma=120.00
Element x y z (fractional)
Li 0.000 0.000 0.000
Ho 0.667 0.333 0.500
Cd 0.333 0.667 0.000

The calculated formation energy is -0.155 eV/atom. As for the symmetry: P-6m2, No. 187. The energy above the most stable polymorph in this dataset comes out at 0.0 meV/atom.



No. 4
This record from Alexandria via LeMat-Bulk describes BaYBr2 after structural relaxation. The functional is PBE-GGA.

Unit cell a=5.166 b=5.166 c=6.909 alpha=102.46 beta=102.46 gamma=43.94
Element x y z (fractional)
Ba 0.000 0.000 0.000
Y 0.500 0.500 0.500
Br 0.241 0.241 0.711
Br 0.759 0.759 0.289

The formation energy (no corrections) is -1148 meV/atom. As for the symmetry: C2/m, No. 12. The energy above the most stable polymorph in this dataset comes out at 66.7 meV/atom.



Computed size of the total moment, in the same sequence as the records: 1.60; 0.00; 0.00; 0.00 μB per formula unit.
Computed final energy, in the same sequence as the records: -6.9978; -4.7363; -2.6242; -4.0813 eV per atom.